The following is a PBEsol calculation of crystalline RbNaSe2Br at its relaxed geometry, from the Alexandria database.

POSCAR file:
```
RbNaSe2Br
1.0
5.2368 0.0000 0.0000
0.0000 5.2368 0.0000
0.0000 0.0000 5.7230
Rb Na Se Br
1 1 2 1
direct
0.0000 0.0000 0.0000
0.5000 0.5000 0.5000
0.0000 0.5000 0.5000
0.5000 0.0000 0.5000
0.5000 0.5000 0.0000
```

Results
Formation energy without anion corrections   -0.33 eV per atom